The following is a PBE+U calculation of crystalline NiH5CNCl2O2 at its relaxed geometry, from Alexandria.

Unit cell a=7.909 b=11.313 c=6.769 alpha=90.00 beta=102.90 gamma=90.00
Space group C2/c (No. 15)
One atom of each set of equivalent atoms:
Ni 0.000 0.000 0.000 [4 per cell]
H 0.000 0.324 0.250 [4 per cell]
H 0.012 0.275 0.879 [8 per cell]
H 0.107 0.383 0.762 [8 per cell]
C 0.000 0.227 0.250 [4 per cell]
N 0.000 0.329 0.750 [4 per cell]
Cl 0.219 0.042 0.807 [8 per cell]
O 0.005 0.177 0.083 [8 per cell]

## Properties
The total energy comes out at -5.0159 eV per atom. As for the density of states at the Fermi level: 0.00 states/eV per cell.